Entry 1:
Below is a relaxed structure of Ta4AuC3, with properties calculated at the GGA-PBE level.

The structure belongs to space group P6_3/mmc (No. 194); the cell edges are 3.1463, 3.1463 and 24.4609 Å and the angles 90.00°, 90.00° and 120.00°. The distinct sites, in fractional coordinates, are Ta at (0.0000, 0.0000, 0.1559), Ta at (0.3333, 0.6667, 0.0546), Au at (0.3333, 0.6667, 0.2500), C at (0.0000, 0.0000, 0.0000) and C at (0.3333, 0.6667, 0.6075).

The electronic total energy comes out at -165.0 eV for the cell shown.

---

Entry 2:
Below is a relaxed structure of NbGa, with properties calculated at the GGA-PBE level.

The structure belongs to space group P6_3/mmc (No. 194); the cell edges are 3.9395, 3.9395 and 5.4403 Å and the angles 90.00°, 90.00° and 120.00°. The distinct sites, in fractional coordinates, are Nb at (0.3333, 0.6667, 0.2500) and Ga at (0.0000, 0.0000, 0.0000).

The electronic total energy comes out at -26.1 eV for the cell shown.

---

Entry 3:
Below is a relaxed structure of LiAsIr, with properties calculated at the GGA-PBE level.

The structure belongs to space group F-43m (No. 216); the cell edges are 5.733, 5.733 and 5.733 Å and the angles 90.00°, 90.00° and 90.00°. The distinct sites, in fractional coordinates, are Li at (0.000, 0.000, 0.000), As at (0.250, 0.250, 0.750) and Ir at (0.000, 0.000, 0.500).

The electronic total energy comes out at -65.3 eV for the cell shown.

---

Entry 4:
Below is a relaxed structure of Ba2AlAg2, with properties calculated at the GGA-PBE level.

The structure belongs to space group I4/mmm (No. 139); the cell edges are 4.585, 4.585 and 15.324 Å and the angles 90.00°, 90.00° and 90.00°. The distinct sites, in fractional coordinates, are Ba at (0.000, 0.000, 0.106), Al at (0.000, 0.000, 0.500) and Ag at (0.000, 0.500, 0.250).

Its energy above the most stable polymorph in this dataset is 0.00 kcal/mol of atoms.

---

Entry 5:
Below is a relaxed structure of Dy2HoZn3CdIn2, with properties calculated at the GGA-PBE level.

The structure belongs to space group Amm2 (No. 38); the cell edges are 4.572, 12.383 and 7.168 Å and the angles 90.00°, 90.00° and 90.00°. The distinct sites, in fractional coordinates, are Dy at (0.000, 0.215, 0.000), Ho at (0.000, 0.000, 0.354), Zn at (0.500, 0.000, 0.018), Zn at (0.500, 0.117, 0.668), Cd at (0.000, 0.000, 0.783) and In at (0.500, 0.166, 0.285).

The electronic total energy comes out at -54.5 eV for the cell shown.

---

Entry 6:
Below is a relaxed structure of TaAgAu2, with properties calculated at the GGA-PBE level.

The structure belongs to space group F-43m (No. 216); the cell edges are 6.548, 6.548 and 6.548 Å and the angles 90.00°, 90.00° and 90.00°. The distinct sites, in fractional coordinates, are Ta at (0.000, 0.000, 0.000), Ag at (0.250, 0.250, 0.250), Au at (0.000, 0.000, 0.500) and Au at (0.250, 0.250, 0.750).

For the formation energy, the calculation gives 0.712 eV/f.u.

---

Entry 7:
Below is a relaxed structure of LiGdFe, with properties calculated at the GGA-PBE level.

The structure belongs to space group F-43m (No. 216); the cell edges are 6.295, 6.295 and 6.295 Å and the angles 90.00°, 90.00° and 90.00°. The distinct sites, in fractional coordinates, are Li at (0.000, 0.000, 0.000), Gd at (0.250, 0.250, 0.750) and Fe at (0.000, 0.000, 0.500).

Its energy above the most stable polymorph in this dataset is 8.62 kcal/mol of atoms.

---

Entry 8:
Below is a relaxed structure of Cd2SiO4, with properties calculated at the GGA-PBE level.

The structure belongs to space group Fd-3m (No. 227, origin choice 2); the cell edges are 8.707, 8.707 and 8.707 Å and the angles 90.00°, 90.00° and 90.00°. The distinct sites, in fractional coordinates, are Cd at (0.000, 0.000, 0.000), Si at (0.125, 0.125, 0.625) and O at (0.015, 0.015, 0.735).

Its energy above the most stable polymorph in this dataset is 0.00 kcal/mol of atoms.

---

Entry 9:
Below is a relaxed structure of Dy2YMg3Tl2Cd, with properties calculated at the GGA-PBE level.

The structure belongs to space group Amm2 (No. 38); the cell edges are 4.621, 13.082 and 7.552 Å and the angles 90.00°, 90.00° and 90.00°. The distinct sites, in fractional coordinates, are Dy at (0.000, 0.212, 0.000), Y at (0.000, 0.000, 0.364), Mg at (0.500, 0.000, 0.028), Mg at (0.500, 0.120, 0.668), Tl at (0.500, 0.167, 0.288) and Cd at (0.000, 0.000, 0.788).

The electronic total energy comes out at -57.8 eV for the cell shown.

---

Entry 10:
Below is a relaxed structure of Hf2GePt, with properties calculated at the GGA-PBE level.

The structure belongs to space group F-43m (No. 216); the cell edges are 6.680, 6.680 and 6.680 Å and the angles 90.00°, 90.00° and 90.00°. The distinct sites, in fractional coordinates, are Hf at (0.000, 0.000, 0.000), Hf at (0.250, 0.250, 0.250), Ge at (0.000, 0.000, 0.500) and Pt at (0.250, 0.250, 0.750).

The electronic total energy comes out at -124.2 eV for the cell shown.

---

Entry 11:
Below is a relaxed structure of AcEr, with properties calculated at the GGA-PBE level.

The structure belongs to space group P-6m2 (No. 187); the cell edges are 3.8065, 3.8065 and 5.9605 Å and the angles 90.00°, 90.00° and 120.00°. The distinct sites, in fractional coordinates, are Ac at (0.0000, 0.0000, 0.0000) and Er at (0.6667, 0.3333, 0.5000).

Its energy above the most stable polymorph in this dataset is 0.00 kcal/mol of atoms. For the formation energy, the calculation gives 0.223 eV/f.u.

---

Entry 12:
Below is a relaxed structure of LiAgO2, with properties calculated at the GGA-PBE level.

The structure belongs to space group Cmme (No. 67); the cell edges are 4.644, 4.796 and 8.006 Å and the angles 90.00°, 90.00° and 90.00°. The distinct sites, in fractional coordinates, are Li at (0.250, 0.000, 0.000), Ag at (0.000, 0.250, 0.357), O at (0.000, 0.250, 0.111) and O at (0.000, 0.250, 0.617).

The electronic total energy comes out at -68.3 eV for the cell shown.

---

Entry 13:
Below is a relaxed structure of BeSiNiHg, with properties calculated at the GGA-PBE level.

The structure belongs to space group F-43m (No. 216); the cell edges are 6.043, 6.043 and 6.043 Å and the angles 90.00°, 90.00° and 90.00°. The distinct sites, in fractional coordinates, are Be at (0.000, 0.000, 0.000), Si at (0.000, 0.000, 0.500), Ni at (0.250, 0.250, 0.750) and Hg at (0.250, 0.250, 0.250).

Its energy above the most stable polymorph in this dataset is 0.72 kcal/mol of atoms.

---

Entry 14:
Below is a relaxed structure of Dy2TmIn3, with properties calculated at the GGA-PBE level.

The structure belongs to space group P4/mmm (No. 123); the cell edges are 3.511, 3.511 and 12.685 Å and the angles 90.00°, 90.00° and 90.00°. The distinct sites, in fractional coordinates, are Dy at (0.000, 0.000, 0.168), Tm at (0.000, 0.000, 0.500), In at (0.500, 0.500, 0.000) and In at (0.500, 0.500, 0.336).

The electronic total energy comes out at -24.6 eV for the cell shown.

---

Entry 15:
Below is a relaxed structure of ErLu4NiIr2, with properties calculated at the GGA-PBE level.

The structure belongs to space group P4/mmm (No. 123); the cell edges are 4.759, 4.759 and 7.283 Å and the angles 90.00°, 90.00° and 90.00°. The distinct sites, in fractional coordinates, are Er at (0.000, 0.000, 0.000), Lu at (0.000, 0.500, 0.277), Ni at (0.500, 0.500, 0.500), Ir at (0.000, 0.000, 0.500) and Ir at (0.500, 0.500, 0.000).

For the formation energy, the calculation gives -4.100 eV/f.u.

---

Entry 16:
Below is a relaxed structure of SmSbAsO, with properties calculated at the GGA-PBE level.

The structure belongs to space group P4/nmm (No. 129, origin choice 2); the cell edges are 4.711, 4.711 and 7.732 Å and the angles 90.00°, 90.00° and 90.00°. The distinct sites, in fractional coordinates, are Sm at (0.250, 0.750, 0.000), Sb at (0.250, 0.250, 0.433), As at (0.250, 0.250, 0.789) and O at (0.250, 0.750, 0.500).

Its energy above the most stable polymorph in this dataset is 17.04 kcal/mol of atoms.

---

Entry 17:
Below is a relaxed structure of La2GdSi2, with properties calculated at the GGA-PBE level.

The structure belongs to space group P4/mbm (No. 127); the cell edges are 7.734, 7.734 and 4.507 Å and the angles 90.00°, 90.00° and 90.00°. The distinct sites, in fractional coordinates, are La at (0.177, 0.323, 0.000), Gd at (0.000, 0.000, 0.500) and Si at (0.113, 0.613, 0.500).

The electronic total energy comes out at -57.4 eV for the cell shown.

---

Entry 18:
Below is a relaxed structure of BiAsAuO, with properties calculated at the GGA-PBE level.

The structure belongs to space group P4/nmm (No. 129, origin choice 2); the cell edges are 4.648, 4.648 and 8.568 Å and the angles 90.00°, 90.00° and 90.00°. The distinct sites, in fractional coordinates, are Bi at (0.250, 0.750, 0.000), As at (0.250, 0.250, 0.215), Au at (0.250, 0.250, 0.515) and O at (0.250, 0.750, 0.500).

Its energy above the most stable polymorph in this dataset is 16.94 kcal/mol of atoms.

---

Entry 19:
Below is a relaxed structure of HfCoMo, with properties calculated at the GGA-PBE level.

The structure belongs to space group F-43m (No. 216); the cell edges are 6.075, 6.075 and 6.075 Å and the angles 90.00°, 90.00° and 90.00°. The distinct sites, in fractional coordinates, are Hf at (0.000, 0.000, 0.000), Co at (0.250, 0.250, 0.750) and Mo at (0.250, 0.250, 0.250).

Its energy above the most stable polymorph in this dataset is 18.41 kcal/mol of atoms. For the formation energy, the calculation gives 3.187 eV/f.u.

---

Entry 20:
Below is a relaxed structure of Al8Fe3, with properties calculated at the GGA-PBE level.

The structure belongs to space group C2/c (No. 15); the cell edges are 11.271, 6.386 and 8.621 Å and the angles 90.00°, 104.59° and 90.00°. The distinct sites, in fractional coordinates, are Al at (0.060, 0.074, 0.138), Al at (0.098, 0.373, 0.548), Al at (0.131, 0.285, 0.894), Al at (0.224, 0.386, 0.282), Fe at (0.000, 0.422, 0.250) and Fe at (0.173, 0.074, 0.424).

Its energy above the most stable polymorph in this dataset is 0.00 kcal/mol of atoms.

---

Entry 21:
Below is a relaxed structure of LaFeSiGe, with properties calculated at the GGA-PBE level.

The structure belongs to space group P2_1/m (No. 11); the cell edges are 4.404, 4.166 and 8.351 Å and the angles 90.00°, 104.01° and 90.00°. The distinct sites, in fractional coordinates, are La at (0.118, 0.250, 0.212), Fe at (0.379, 0.250, 0.602), Si at (0.177, 0.750, 0.499) and Ge at (0.436, 0.250, 0.896).

Its energy above the most stable polymorph in this dataset is 0.00 kcal/mol of atoms.

---

Entry 22:
Below is a relaxed structure of FeTcHgBi, with properties calculated at the GGA-PBE level.

The structure belongs to space group F-43m (No. 216); the cell edges are 6.552, 6.552 and 6.552 Å and the angles 90.00°, 90.00° and 90.00°. The distinct sites, in fractional coordinates, are Fe at (0.000, 0.000, 0.000), Tc at (0.000, 0.000, 0.500), Hg at (0.250, 0.250, 0.250) and Bi at (0.250, 0.250, 0.750).

Its energy above the most stable polymorph in this dataset is 0.00 kcal/mol of atoms.

---

Entry 23:
Below is a relaxed structure of LiY3Ni8, with properties calculated at the GGA-PBE level.

The structure belongs to space group R3m (No. 160, hexagonal axes); the cell edges are 4.9850, 4.9850 and 24.4514 Å and the angles 90.00°, 90.00° and 120.00°. The distinct sites, in fractional coordinates, are Li at (0.0000, 0.0000, 0.0000), Y at (0.0000, 0.0000, 0.1210), Y at (0.0000, 0.0000, 0.5076), Y at (0.0000, 0.0000, 0.6369), Ni at (0.0000, 0.0000, 0.3182), Ni at (0.0000, 0.0000, 0.8177), Ni at (0.9996, 0.4998, 0.5684) and Ni at (0.0044, 0.5022, 0.0675).

The electronic total energy comes out at -211.3 eV for the cell shown.

---

Entry 24:
Below is a relaxed structure of SrSmAgSe3, with properties calculated at the GGA-PBE level.

The structure belongs to space group P2_1/m (No. 11); the cell edges are 8.040, 4.182 and 10.053 Å and the angles 90.00°, 105.87° and 90.00°. The distinct sites, in fractional coordinates, are Sr at (0.248, 0.250, 0.208), Sm at (0.196, 0.750, 0.658), Ag at (0.409, 0.250, 0.909), Se at (0.067, 0.750, 0.356), Se at (0.216, 0.750, 0.960) and Se at (0.449, 0.250, 0.656).

The electronic total energy comes out at -57.5 eV for the cell shown.

---

Entry 25:
Below is a relaxed structure of PrNdSn2, with properties calculated at the GGA-PBE level.

The structure belongs to space group Amm2 (No. 38); the cell edges are 4.401, 4.695 and 11.793 Å and the angles 90.00°, 90.00° and 90.00°. The distinct sites, in fractional coordinates, are Pr at (0.000, 0.000, 0.000), Nd at (0.500, 0.000, 0.728), Sn at (0.000, 0.000, 0.275) and Sn at (0.500, 0.000, 0.453).

The electronic total energy comes out at -41.4 eV for the cell shown.